# 1
# ScZnBr2, optimized geometry, DFT PBE
# Offset from the most stable computed form in kJ/mol of formula units: 1
# Electronic total energy in eV/atom: -3.64
# Energy relative to the elements, uncorrected in meV per atom: -902
# Mass density in g cm⁻³: 3.612
data_ScZnBr2
_chemical_formula_sum 'Sc3 Zn3 Br6'
_cell_length_a 3.7075
_cell_length_b 3.7075
_cell_length_c 31.3023
_cell_angle_alpha 90.00
_cell_angle_beta 90.00
_cell_angle_gamma 120.00
_space_group_name_H-M_alt 'R -3 m'
_space_group_IT_number 166
_space_group_name_Hall '-R 3 2"'
loop_
_atom_site_label
_atom_site_type_symbol
_atom_site_fract_x
_atom_site_fract_y
_atom_site_fract_z
Sc1 Sc 0.0000 0.0000 0.0000
Zn1 Zn 0.0000 0.0000 0.5000
Br1 Br 0.0000 0.0000 0.2790

# 2
# LiY2Ag3, optimized geometry, DFT PBE
# Electronic total energy in eV/atom: -4.15
# Energy of formation in meV/atom: -247
# Mass density in g cm⁻³: 6.319
data_LiY2Ag3
_chemical_formula_sum 'Li2 Y4 Ag6'
_cell_length_a 5.0248
_cell_length_b 5.0248
_cell_length_c 12.2180
_cell_angle_alpha 90.00
_cell_angle_beta 90.00
_cell_angle_gamma 120.00
_space_group_name_H-M_alt 'P -3 m 1'
_space_group_IT_number 164
_space_group_name_Hall '-P 3 2"'
loop_
_atom_site_label
_atom_site_type_symbol
_atom_site_fract_x
_atom_site_fract_y
_atom_site_fract_z
Li1 Li 0.3333 0.6667 0.1681
Y1 Y 0.0000 0.0000 0.0000
Y2 Y 0.0000 0.0000 0.5000
Y3 Y 0.3333 0.6667 0.6799
Ag1 Ag 0.0000 0.0000 0.2475
Ag2 Ag 0.3333 0.6667 0.4176
Ag3 Ag 0.3333 0.6667 0.9293

# 3
# OsWBr4, optimized geometry, DFT PBE
# Electronic total energy in eV/atom: -2.71
# Energy relative to the elements, uncorrected in meV per atom: 2432
# Mass density in g cm⁻³: 7.940
data_OsWBr4
_chemical_formula_sum 'Os4 W4 Br16'
_cell_length_a 8.3409
_cell_length_b 8.3409
_cell_length_c 8.3409
_cell_angle_alpha 90.00
_cell_angle_beta 90.00
_cell_angle_gamma 90.00
_space_group_name_H-M_alt 'F -4 3 m'
_space_group_IT_number 216
_space_group_name_Hall 'F -4 2 3'
loop_
_atom_site_label
_atom_site_type_symbol
_atom_site_fract_x
_atom_site_fract_y
_atom_site_fract_z
Os1 Os 0.0000 0.0000 0.0000
W1 W 0.2500 0.2500 0.7500
Br1 Br 0.1254 0.1254 0.3746